Record 1
# LiSeO2

A relaxed LiSeO2 crystal (GGA-PBE, Alexandria).

- uncorrected formation energy (meV/atom) = -600.5
- E_tot (eV per atom) = -4.4291

a = 5.8060 Å, b = 5.8060 Å, c = 5.8060 Å
α = 34.20°, β = 34.20°, γ = 34.20°
Last column: nearest neighbours and their distance in Å.
Positions (direct):
Se  0.5000  0.5000  0.5000  6 O 2.19
O  0.1092  0.1092  0.1092  1 Li 1.79
O  0.8908  0.8908  0.8908  1 Li 1.79
Li  0.0000  0.0000  0.0000  2 O 1.79

***

Record 2
# LiSeO2

A relaxed LiSeO2 crystal (GGA-PBE, Alexandria).

- uncorrected formation energy (meV/atom) = -1209.6
- E_tot (eV per atom) = -5.0382

a = 6.5176 Å, b = 4.8044 Å, c = 8.4903 Å
α = 121.91°, β = 90.00°, γ = 90.00°
Last column: nearest neighbours and their distance in Å.
Positions (direct):
Se  0.1221  0.2661  0.6224  2 O 1.73
Se  0.8779  0.7339  0.3776  2 O 1.73
Se  0.6221  0.2339  0.8776  2 O 1.73
Se  0.3779  0.7661  0.1224  2 O 1.73
Li  0.6321  0.3283  0.5318  4 O 2.02-2.11
Li  0.1321  0.1717  0.9682  4 O 2.02-2.11
Li  0.3679  0.6717  0.4682  4 O 2.02-2.11
Li  0.8679  0.8283  0.0318  4 O 2.02-2.11
O  0.1769  0.7829  0.9947  1 Se 1.73
O  0.7717  0.9501  0.2877  1 Se 1.73
O  0.2717  0.5499  0.2123  1 Se 1.73
O  0.6769  0.7171  0.5053  1 Se 1.73
O  0.2283  0.0499  0.7123  1 Se 1.73
O  0.8231  0.2171  0.0053  1 Se 1.73
O  0.3231  0.2829  0.4947  1 Se 1.73
O  0.7283  0.4501  0.7877  1 Se 1.73

***

Record 3
# Li2SeO

A relaxed Li2SeO crystal (GGA-PBE, Alexandria).

- relative energy among the computed polymorphs (meV per atom) = 0
- uncorrected formation energy (meV/atom) = -1033.5
- E_tot (eV per atom) = -4.1011

a = 6.7742 Å, b = 6.7742 Å, c = 5.3224 Å
α = 50.48°, β = 50.48°, γ = 90.00°
Last column: nearest neighbours and their distance in Å.
Positions (direct):
Li  0.8750  0.7496  0.7500  2 O 1.98
Li  0.3750  0.5004  0.7500  2 O 1.98
Li  0.2504  0.6250  0.2500  2 O 1.98
Li  0.4996  0.1250  0.2500  2 O 1.98
O  0.2500  0.7500  0.5000  4 Li 1.98
O  0.5000  0.5000  0.0000  4 Li 1.98
Se  0.7500  0.2500  0.5000  2 O 2.32, 4 Li 2.57
Se  0.0000  0.0000  0.0000  2 O 2.32, 4 Li 2.57

***

Record 4
# Li3SeO

A relaxed Li3SeO crystal (GGA-PBE, Alexandria).

- relative energy among the computed polymorphs (meV per atom) = 746
- uncorrected formation energy (meV/atom) = -591.0
- E_tot (eV per atom) = -3.4278

a = 4.7058 Å, b = 4.7058 Å, c = 4.7058 Å
α = 90.00°, β = 90.00°, γ = 90.00°
Last column: nearest neighbours and their distance in Å.
Positions (direct):
Li  0.0000  0.0000  0.5000  2 Se 2.35
Li  0.0000  0.5000  0.0000  2 Se 2.35
Li  0.5000  0.0000  0.0000  2 Se 2.35
O  0.5000  0.5000  0.5000  12 Li 3.33
Se  0.0000  0.0000  0.0000  6 Li 2.35

***

Record 5
# LiSe3O

A relaxed LiSe3O crystal (GGA-PBE, Alexandria).

- relative energy among the computed polymorphs (meV per atom) = 0
- uncorrected formation energy (meV/atom) = 73.5
- E_tot (eV per atom) = -3.3917

a = 4.5109 Å, b = 4.5109 Å, c = 4.5109 Å
α = 90.00°, β = 90.00°, γ = 90.00°
Last column: nearest neighbours and their distance in Å.
Positions (direct):
Li  0.5000  0.5000  0.5000  12 Se 3.19
Se  0.0000  0.5000  0.0000  2 O 2.26
Se  0.0000  0.0000  0.5000  2 O 2.26
Se  0.5000  0.0000  0.0000  2 O 2.26
O  0.0000  0.0000  0.0000  6 Se 2.26

***

Record 6
# Li3SeO4

A relaxed Li3SeO4 crystal (GGA-PBE, Alexandria).

- uncorrected formation energy (meV/atom) = -1470.5
- E_tot (eV per atom) = -5.1029

a = 4.7255 Å, b = 5.7483 Å, c = 6.6736 Å
α = 90.00°, β = 90.00°, γ = 90.00°
Last column: nearest neighbours and their distance in Å.
Positions (direct):
O  0.0856  0.8579  0.0000  1 Se 1.82, 2 Li 1.99
O  0.0876  0.3251  0.7658  1 Se 1.82, 2 Li 2.00-2.02
O  0.6578  0.1729  0.0000  1 Se 1.74
O  0.5856  0.1421  0.5000  1 Se 1.82, 2 Li 1.99
O  0.1578  0.8271  0.5000  1 Se 1.74
O  0.0876  0.3251  0.2342  1 Se 1.82, 2 Li 2.00-2.02
O  0.5876  0.6749  0.2658  1 Se 1.82, 2 Li 2.00-2.02
O  0.5876  0.6749  0.7342  1 Se 1.82, 2 Li 2.00-2.02
Li  0.0234  0.6680  0.2457  4 O 1.99-2.06
Li  0.5241  0.8348  0.0000  4 O 2.02-2.08
Li  0.0234  0.6680  0.7543  4 O 1.99-2.06
Li  0.5234  0.3320  0.7457  4 O 1.99-2.06
Li  0.0241  0.1652  0.5000  4 O 2.02-2.08
Li  0.5234  0.3320  0.2543  4 O 1.99-2.06
Se  0.0258  0.1701  0.0000  4 O 1.74-1.82
Se  0.5258  0.8299  0.5000  4 O 1.74-1.82

***

Record 7
# LiSeO2

A relaxed LiSeO2 crystal (GGA-PBE, Alexandria).

- uncorrected formation energy (meV/atom) = -744.5
- E_tot (eV per atom) = -4.5731

a = 4.3819 Å, b = 4.3819 Å, c = 6.3297 Å
α = 69.75°, β = 69.75°, γ = 90.00°
Last column: nearest neighbours and their distance in Å.
Positions (direct):
O  0.1127  0.6250  0.2500  2 Se 2.05, 2 Li 2.10
O  0.8750  0.8873  0.7500  2 Se 2.05, 2 Li 2.10
O  0.3750  0.3627  0.7500  2 Se 2.05, 2 Li 2.10
O  0.6373  0.1250  0.2500  2 Se 2.05, 2 Li 2.10
Se  0.0000  0.0000  0.0000  4 O 2.05
Se  0.7500  0.2500  0.5000  4 O 2.05
Li  0.5000  0.5000  0.0000  4 O 2.10
Li  0.2500  0.7500  0.5000  4 O 2.10

***

Record 8
# LiSe2O6

A relaxed LiSe2O6 crystal (GGA-PBE, Alexandria).

- relative energy among the computed polymorphs (meV per atom) = 37
- uncorrected formation energy (meV/atom) = -717.1
- E_tot (eV per atom) = -5.0095

a = 9.5822 Å, b = 5.1047 Å, c = 6.0520 Å
α = 85.60°, β = 90.00°, γ = 90.00°
Last column: nearest neighbours and their distance in Å.
Positions (direct):
O  0.8871  0.2985  0.2082  1 Se 1.64
O  0.2452  0.8148  0.7131  1 Se 1.65
O  0.3874  0.7294  0.2889  1 Se 1.64
O  0.2548  0.2130  0.2844  1 Se 1.65
O  0.1129  0.2985  0.7082  1 Se 1.64
O  0.5028  0.1707  0.5242  2 Se 1.84-1.91
O  0.0024  0.8573  0.9720  2 Se 1.84-1.91
O  0.6126  0.7294  0.7889  1 Se 1.64
O  0.4972  0.1707  0.0242  2 Se 1.84-1.91
O  0.7452  0.2130  0.7844  1 Se 1.65
O  0.9976  0.8573  0.4720  2 Se 1.84-1.91
O  0.7548  0.8148  0.2131  1 Se 1.65
Li  0.7498  0.5140  0.9990  4 O 2.08-2.09
Li  0.2502  0.5140  0.4990  4 O 2.08-2.09
Se  0.0963  0.9778  0.7189  2 O 1.64-1.65
Se  0.5963  0.0501  0.7781  2 O 1.64-1.65
Se  0.4037  0.0501  0.2781  2 O 1.64-1.65
Se  0.9037  0.9778  0.2189  2 O 1.64-1.65

***

Record 9
# LiSe2O6

A relaxed LiSe2O6 crystal (GGA-PBE, Alexandria).

- relative energy among the computed polymorphs (meV per atom) = 1
- uncorrected formation energy (meV/atom) = -753.2
- E_tot (eV per atom) = -5.0457

a = 7.3337 Å, b = 5.8272 Å, c = 9.2343 Å
α = 48.22°, β = 90.00°, γ = 90.00°
Last column: nearest neighbours and their distance in Å.
Positions (direct):
Se  0.1324  0.1914  0.2337  2 O 1.66
Se  0.2478  0.7102  0.7873  4 O 1.64-1.83
Se  0.8676  0.1914  0.7337  2 O 1.66
Se  0.7522  0.7102  0.2873  4 O 1.64-1.83
O  0.4381  0.5362  0.9031  1 Se 1.64
O  0.7328  0.3810  0.7678  1 Se 1.66
O  0.1810  0.6869  0.6269  1 Se 1.65
O  0.8190  0.6869  0.1269  1 Se 1.65
O  0.0696  0.4896  0.9718  2 Se 1.83-1.87
O  0.7756  0.0612  0.2104  1 Se 1.67
O  0.5619  0.5362  0.4031  1 Se 1.64
O  0.2244  0.0612  0.7104  1 Se 1.67
O  0.2383  0.9388  0.2351  1 Se 1.66
O  0.7617  0.9388  0.7351  1 Se 1.66
O  0.2672  0.3810  0.2678  1 Se 1.66
O  0.9304  0.4896  0.4718  2 Se 1.83-1.87
Li  0.7080  0.4849  0.9388  4 O 2.00-2.09
Li  0.2920  0.4849  0.4388  4 O 2.00-2.09

***

Record 10
# LiSeO2

A relaxed LiSeO2 crystal (GGA-PBE, Alexandria).

- uncorrected formation energy (meV/atom) = -819.8
- E_tot (eV per atom) = -4.6485

a = 6.0134 Å, b = 6.0134 Å, c = 6.0134 Å
α = 28.98°, β = 28.98°, γ = 28.98°
Last column: nearest neighbours and their distance in Å.
Positions (direct):
Li  0.5000  0.5000  0.5000  6 O 2.06
Se  0.0000  0.0000  0.0000  2 O 1.77
O  0.1024  0.1024  0.1024  1 Se 1.77
O  0.8976  0.8976  0.8976  1 Se 1.77

***

Record 11
# Li7SeO2

A relaxed Li7SeO2 crystal (GGA-PBE, Alexandria).

- uncorrected formation energy (meV/atom) = -1224.8
- E_tot (eV per atom) = -3.9045

a = 3.5739 Å, b = 3.5739 Å, c = 9.2489 Å
α = 101.14°, β = 101.14°, γ = 90.00°
Last column: nearest neighbours and their distance in Å.
Positions (direct):
Li  0.7500  0.2500  0.5000  4 O 2.18, 2 Li 2.29
Li  0.6213  0.1213  0.2426  2 O 2.07, 1 Li 2.29
Li  0.5000  0.5000  0.0000  4 Se 2.53, 8 Li 2.80
Li  0.1213  0.6213  0.2426  2 O 2.07, 1 Li 2.29
Li  0.2500  0.7500  0.5000  4 O 2.18, 2 Li 2.29
Li  0.3787  0.8787  0.7574  2 O 2.07, 1 Li 2.29
Li  0.8787  0.3787  0.7574  2 O 2.07, 1 Li 2.29
Se  0.0000  0.0000  0.0000  12 Li 2.53-2.80
O  0.6801  0.6801  0.3602  8 Li 2.07-2.18
O  0.3199  0.3199  0.6398  8 Li 2.07-2.18

***

Record 12
# Li4SeO

A relaxed Li4SeO crystal (GGA-PBE, Alexandria).

- uncorrected formation energy (meV/atom) = -1375.3
- E_tot (eV per atom) = -4.0583

a = 3.6105 Å, b = 5.0456 Å, c = 5.0456 Å
α = 94.09°, β = 90.00°, γ = 90.00°
Last column: nearest neighbours and their distance in Å.
Positions (direct):
Li  0.0000  0.2326  0.2326  1 O 1.84
Li  0.5000  0.6575  0.3425  2 O 2.15, 1 Li 2.33
Li  0.0000  0.7674  0.7674  1 O 1.84
Li  0.5000  0.3425  0.6575  2 O 2.15, 1 Li 2.33
Se  0.5000  0.0000  0.0000  6 Li 2.41-2.53
O  0.0000  0.5000  0.5000  2 Li 1.84